# 1
Er2AsPb: optimized geometry, PBE.

Structure (POSCAR):
```
Er2AsPb
1.0
4.005 0.000 0.000
2.002 3.468 0.000
2.002 1.156 7.758
Pb Er As
1 2 1
Direct
0.500 0.500 0.500
0.737 0.737 0.789
0.263 0.263 0.211
0.000 0.000 0.000
```

Computed properties:
**Excess energy over the best structure of this formula in the dataset**: 0 meV/atom
**Space-group type**: R-3m
**Formation energy from the elements**: -0.96 eV per atom
**Uncorrected energy**: -5.33 eV/atom
**DOS(E_F)**: 1.5 states/eV/f.u.

---

# 2
Er2AsPb: optimized geometry, PBE.

Structure (POSCAR):
```
Er2AsPb
1.0
-0.686 2.596 2.817
0.243 -1.070 3.734
8.015 2.047 0.065
Er As Pb
2 1 1
Direct
0.333 0.333 0.797
0.667 0.667 0.203
0.000 0.000 0.000
0.000 0.000 0.500
```

Computed properties:
**Excess energy over the best structure of this formula in the dataset**: 102 meV/atom
**Space-group type**: P-3m1
**Formation energy from the elements**: -0.86 eV per atom
**Uncorrected energy**: -5.23 eV/atom
**DOS(E_F)**: 2.8 states/eV/f.u.

---

# 3
ErAs2Rh5Pb: optimized geometry, PBE.

Structure (POSCAR):
```
ErAs2Rh5Pb
1.0
4.182 0.000 0.000
0.000 4.182 0.000
0.000 0.000 8.819
As Er Rh Pb
2 1 5 1
Direct
0.500 0.500 0.142
0.500 0.500 0.858
0.000 0.000 0.000
0.500 0.000 0.730
0.500 0.000 0.270
0.500 0.500 0.500
0.000 0.500 0.730
0.000 0.500 0.270
0.000 0.000 0.500
```

Computed properties:
**Space-group type**: P4/mmm
**Formation energy from the elements**: -0.54 eV per atom
**Uncorrected energy**: -6.58 eV/atom
**DOS(E_F)**: 5.2 states/eV/f.u.

---

# 4
ErAs2Rh7Pb2: optimized geometry, PBE.

Structure (POSCAR):
```
ErAs2Rh7Pb2
1.0
-2.179 0.914 3.222
-1.899 -3.506 -0.260
8.495 -6.648 9.119
Pb As Er Rh
2 2 1 7
Direct
0.108 0.108 0.610
0.892 0.892 0.390
0.574 0.574 0.753
0.426 0.426 0.247
0.000 0.000 0.000
0.500 0.500 0.000
0.045 0.544 0.851
0.544 0.045 0.851
0.381 0.381 0.421
0.456 0.955 0.149
0.619 0.619 0.579
0.955 0.456 0.149
```

Computed properties:
**Space-group type**: C2/m
**Formation energy from the elements**: -0.28 eV per atom
**Uncorrected energy**: -6.34 eV/atom
**DOS(E_F)**: 9.3 states/eV/f.u.

---

# 5
Er6As2PbS3: optimized geometry, PBE.

Structure (POSCAR):
```
Er6As2PbS3
1.0
4.006 0.000 0.000
0.000 8.128 0.336
-2.003 -2.298 8.500
Er S As Pb
6 3 2 1
Direct
0.668 0.583 0.337
0.000 0.728 0.000
0.332 0.417 0.663
0.674 0.089 0.347
0.326 0.911 0.653
0.000 0.272 0.000
0.833 0.168 0.667
0.167 0.832 0.333
0.500 0.500 0.000
0.167 0.335 0.334
0.833 0.665 0.666
0.500 0.000 0.000
```

Computed properties:
**Space-group type**: C2/m
**Uncorrected energy**: -5.93 eV/atom
**Formation energy without anion corrections**: -1.532 eV per atom
**DOS(E_F)**: 4.3 states/eV/f.u.

---

# 6
Er6As3PbS2: optimized geometry, PBE.

Structure (POSCAR):
```
Er6As3PbS2
1.0
-0.643 -1.421 3.724
6.862 -4.532 -0.544
3.232 8.363 1.561
S As Er Pb
2 3 6 1
Direct
0.830 0.659 0.659
0.170 0.341 0.341
0.500 0.500 0.000
0.165 0.831 0.331
0.835 0.169 0.669
0.003 0.268 0.005
0.327 0.913 0.654
0.673 0.087 0.346
0.668 0.585 0.335
0.332 0.415 0.665
0.997 0.732 0.995
0.500 0.000 0.000
```

Computed properties:
**Space-group type**: C2/m
**Uncorrected energy**: -5.91 eV/atom
**Formation energy without anion corrections**: -1.468 eV per atom
**DOS(E_F)**: 2.6 states/eV/f.u.

---

# 7
Er4Sb2AsPb: optimized geometry, PBE.

Structure (POSCAR):
```
Er4Sb2AsPb
1.0
4.250 0.000 0.000
0.000 7.633 0.225
0.000 -2.573 6.859
Sb Er As Pb
2 4 1 1
Direct
0.500 0.000 0.500
0.000 0.500 0.500
0.500 0.766 0.762
0.500 0.234 0.238
0.000 0.764 0.247
0.000 0.236 0.753
0.000 0.000 0.000
0.500 0.500 0.000
```

Computed properties:
**Space-group type**: P2/m
**Uncorrected energy**: -5.32 eV/atom
**Formation energy without anion corrections**: -0.967 eV per atom
**DOS(E_F)**: 3.1 states/eV/f.u.

---

# 8
Er4SbAsPb2: optimized geometry, PBE.

Structure (POSCAR):
```
Er4SbAsPb2
1.0
-2.905 1.618 -2.410
-3.559 -6.223 0.113
-2.711 4.376 6.207
Er Pb As Sb
4 2 1 1
Direct
0.000 0.753 0.227
0.500 0.771 0.781
0.000 0.247 0.773
0.500 0.229 0.219
0.000 0.500 0.500
0.500 0.000 0.500
0.000 0.000 0.000
0.500 0.500 0.000
```

Computed properties:
**Space-group type**: P2/m
**Uncorrected energy**: -5.12 eV/atom
**Formation energy without anion corrections**: -0.816 eV per atom
**DOS(E_F)**: 3.5 states/eV/f.u.

---

# 9
Er6Sb3As2Pb: optimized geometry, PBE.

Structure (POSCAR):
```
Er6Sb3As2Pb
1.0
4.244 0.000 0.000
0.000 8.600 0.406
-2.122 -2.373 8.952
Er Sb As Pb
6 3 2 1
Direct
0.328 0.897 0.656
0.329 0.424 0.657
0.672 0.103 0.344
0.671 0.576 0.343
0.991 0.739 0.983
0.009 0.261 0.017
0.162 0.835 0.325
0.500 0.500 0.000
0.838 0.165 0.675
0.831 0.661 0.662
0.169 0.339 0.338
0.500 0.000 0.000
```

Computed properties:
**Space-group type**: C2/m
**Uncorrected energy**: -5.47 eV/atom
**Formation energy without anion corrections**: -1.077 eV per atom
**DOS(E_F)**: 3.6 states/eV/f.u.

---

# 10
Er4AsPb2Se: optimized geometry, PBE.

Structure (POSCAR):
```
Er4AsPb2Se
1.0
-2.128 3.374 -0.557
-6.706 -3.927 1.835
-0.884 0.573 6.851
Er Pb As Se
4 2 1 1
Direct
0.000 0.283 0.244
0.000 0.717 0.756
0.500 0.286 0.735
0.500 0.714 0.265
0.500 0.000 0.500
0.000 0.000 0.000
0.000 0.500 0.500
0.500 0.500 0.000
```

Computed properties:
**Space-group type**: P2/m
**Uncorrected energy**: -5.24 eV/atom
**Formation energy without anion corrections**: -1.018 eV per atom
**DOS(E_F)**: 2.4 states/eV/f.u.

---

# 11
Er6AsPb3Se2: optimized geometry, PBE.

Structure (POSCAR):
```
Er6AsPb3Se2
1.0
7.004 -0.005 -0.002
-3.505 6.064 -0.002
-1.169 -2.023 7.519
Pb Se Er As
3 2 6 1
Direct
0.500 0.500 0.500
0.170 0.830 0.500
0.830 0.170 0.500
0.666 0.334 0.000
0.334 0.666 0.000
0.402 0.073 0.218
0.254 0.254 0.778
0.927 0.598 0.782
0.598 0.927 0.782
0.746 0.746 0.222
0.073 0.402 0.218
0.000 0.000 0.000
```

Computed properties:
**Space-group type**: C2/m
**Uncorrected energy**: -5.21 eV/atom
**Formation energy without anion corrections**: -1.029 eV per atom
**DOS(E_F)**: 5.0 states/eV/f.u.

---

# 12
Er4AsPbSe2: optimized geometry, PBE.

Structure (POSCAR):
```
Er4AsPbSe2
1.0
-3.584 2.019 0.585
-3.598 -6.166 -0.763
-0.737 -3.180 6.460
Er As Se Pb
4 1 2 1
Direct
0.500 0.743 0.261
0.000 0.752 0.740
0.000 0.248 0.260
0.500 0.257 0.739
0.000 0.500 0.500
0.000 0.000 0.000
0.500 0.000 0.500
0.500 0.500 0.000
```

Computed properties:
**Space-group type**: P2/m
**Uncorrected energy**: -5.55 eV/atom
**Formation energy without anion corrections**: -1.349 eV per atom
**DOS(E_F)**: 2.1 states/eV/f.u.

---

# 13
Er6As2PbSe3: optimized geometry, PBE.

Structure (POSCAR):
```
Er6As2PbSe3
1.0
-1.813 3.275 -1.714
-1.464 -4.401 -6.860
-6.447 -3.120 5.803
Er Se Pb As
6 3 1 2
Direct
0.671 0.097 0.341
0.329 0.903 0.659
0.329 0.423 0.658
0.671 0.577 0.342
0.004 0.261 0.007
0.996 0.739 0.993
0.166 0.832 0.332
0.500 0.500 0.000
0.834 0.168 0.668
0.500 0.000 0.000
0.168 0.336 0.335
0.832 0.664 0.665
```

Computed properties:
**Space-group type**: C2/m
**Uncorrected energy**: -5.69 eV/atom
**Formation energy without anion corrections**: -1.455 eV per atom
**DOS(E_F)**: 4.6 states/eV/f.u.

---

# 14
Er4Te2AsPb: optimized geometry, PBE.

Structure (POSCAR):
```
Er4Te2AsPb
1.0
-0.312 -4.268 0.195
2.053 0.179 7.177
-6.061 0.638 4.270
Er Te Pb As
4 2 1 1
Direct
0.500 0.275 0.733
0.000 0.268 0.254
0.000 0.732 0.746
0.500 0.725 0.267
0.000 0.000 0.000
0.500 0.000 0.500
0.500 0.500 0.000
0.000 0.500 0.500
```

Computed properties:
**Space-group type**: P2/m
**Uncorrected energy**: -5.27 eV/atom
**Formation energy without anion corrections**: -1.156 eV per atom
**DOS(E_F)**: 1.5 states/eV/f.u.

---

# 15
Er8Te4As3Pb: optimized geometry, PBE.

Structure (POSCAR):
```
Er8Te4As3Pb
1.0
8.460 0.000 0.000
0.000 8.556 0.062
-4.230 -4.226 5.985
Er As Te Pb
8 3 4 1
Direct
0.247 0.724 0.494
0.269 0.276 0.023
0.261 0.284 0.523
0.753 0.276 0.506
0.247 0.724 0.977
0.753 0.276 0.023
0.739 0.716 0.477
0.731 0.724 0.977
0.500 0.500 0.000
0.000 0.500 0.500
0.500 0.500 0.500
0.500 0.000 0.500
0.000 0.000 0.500
0.000 0.000 0.000
0.500 0.000 0.000
0.000 0.500 0.000
```

Computed properties:
**Space-group type**: R-3m
**Uncorrected energy**: -5.47 eV/atom
**Formation energy without anion corrections**: -1.299 eV per atom
**DOS(E_F)**: 5.1 states/eV/f.u.

---

# 16
Er6Te3AsPb2: optimized geometry, PBE.

Structure (POSCAR):
```
Er6Te3AsPb2
1.0
-0.294 2.892 3.196
-4.916 -5.527 4.549
8.915 -3.584 1.143
Er Te Pb As
6 3 2 1
Direct
0.657 0.083 0.314
0.998 0.772 0.995
0.002 0.228 0.005
0.668 0.576 0.335
0.332 0.424 0.665
0.343 0.917 0.686
0.500 0.500 0.000
0.833 0.166 0.666
0.167 0.834 0.334
0.834 0.670 0.667
0.166 0.330 0.333
0.500 0.000 0.000
```

Computed properties:
**Space-group type**: C2/m
**Uncorrected energy**: -5.14 eV/atom
**Formation energy without anion corrections**: -1.066 eV per atom
**DOS(E_F)**: 2.5 states/eV/f.u.

---

# 17
ErAs2Pd3: optimized geometry, PBE.

Structure (POSCAR):
```
ErAs2Pd3
1.0
-1.741 -2.628 -2.540
4.851 -4.997 5.071
-8.805 1.326 4.663
As Pd Er
6 9 3
Direct
0.542 0.085 0.787
0.802 0.605 0.869
0.198 0.395 0.131
0.636 0.273 0.453
0.458 0.915 0.213
0.364 0.727 0.547
0.384 0.769 0.811
0.223 0.446 0.386
0.681 0.363 0.963
0.616 0.231 0.189
0.319 0.637 0.037
0.042 0.083 0.328
0.500 0.000 0.500
0.777 0.554 0.614
0.958 0.917 0.672
0.000 0.000 0.000
0.850 0.700 0.307
0.150 0.300 0.693
```

Computed properties:
**Space-group type**: C2/m
**Formation energy from the elements**: -0.76 eV per atom
**Uncorrected energy**: -5.67 eV/atom
**DOS(E_F)**: 2.7 states/eV/f.u.

---

# 18
ErAsPd: optimized geometry, PBE.

Structure (POSCAR):
```
ErAsPd
1.0
-2.784 2.609 -0.568
-0.663 0.119 3.799
4.500 1.683 -1.226
Er Pd As
1 1 1
Direct
0.619 0.619 0.238
0.271 0.271 0.542
0.960 0.960 0.920
```

Computed properties:
**Space-group type**: I4mm
**Formation energy from the elements**: -0.81 eV per atom
**Uncorrected energy**: -5.61 eV/atom
**DOS(E_F)**: 1.2 states/eV/f.u.

---

# 19
ErAsPd: optimized geometry, PBE.

Structure (POSCAR):
```
ErAsPd
1.0
-1.919 3.053 -1.980
-4.594 -4.597 -2.634
-4.718 1.113 6.288
Er Pd As
4 4 4
Direct
0.250 0.532 0.191
0.750 0.968 0.691
0.250 0.032 0.309
0.750 0.468 0.809
0.250 0.143 0.938
0.750 0.357 0.438
0.250 0.643 0.562
0.750 0.857 0.062
0.250 0.247 0.621
0.750 0.753 0.379
0.250 0.747 0.879
0.750 0.253 0.121
```

Computed properties:
**Space-group type**: Pnma
**Formation energy from the elements**: -1.19 eV per atom
**Uncorrected energy**: -5.99 eV/atom
**DOS(E_F)**: 0.1 states/eV/f.u.

---

# 20
ErAsPd2: optimized geometry, PBE.

Structure (POSCAR):
```
ErAsPd2
1.0
-4.164 0.417 -0.017
-0.396 -3.890 1.428
0.127 1.422 3.910
Pd As Er
2 1 1
Direct
0.000 0.500 0.000
0.000 0.000 0.500
0.500 0.000 0.000
0.500 0.500 0.500
```

Computed properties:
**Space-group type**: P4/mmm
**Formation energy from the elements**: -0.78 eV per atom
**Uncorrected energy**: -5.68 eV/atom
**DOS(E_F)**: 1.8 states/eV/f.u.

---

# 21
ErAsPd2: optimized geometry, PBE.

Structure (POSCAR):
```
ErAsPd2
1.0
4.036 0.000 0.000
-2.018 5.059 0.000
0.000 0.000 7.170
Pd Er As
4 2 2
Direct
0.637 0.273 0.054
0.363 0.727 0.554
0.363 0.727 0.946
0.637 0.273 0.446
0.946 0.893 0.250
0.054 0.107 0.750
0.767 0.534 0.750
0.233 0.466 0.250
```

Computed properties:
**Space-group type**: Cmcm
**Formation energy from the elements**: -0.91 eV per atom
**Uncorrected energy**: -5.81 eV/atom
**DOS(E_F)**: 1.8 states/eV/f.u.

---

# 22
ErAs4Pd12: optimized geometry, PBE.

Structure (POSCAR):
```
ErAs4Pd12
1.0
-4.023 -6.204 -0.515
1.843 1.169 7.083
-3.974 5.736 -2.499
Pd As Er
12 4 1
Direct
0.339 0.501 0.162
0.838 0.661 0.499
0.838 0.339 0.178
0.339 0.178 0.838
0.661 0.499 0.838
0.178 0.838 0.339
0.162 0.661 0.822
0.162 0.339 0.501
0.661 0.822 0.162
0.499 0.838 0.661
0.822 0.162 0.661
0.501 0.162 0.339
0.000 0.000 0.500
0.500 0.000 0.000
0.000 0.500 0.000
0.500 0.500 0.500
0.000 0.000 0.000
```

Computed properties:
**Space-group type**: Im-3
**Formation energy from the elements**: -0.26 eV per atom
**Uncorrected energy**: -5.29 eV/atom
**DOS(E_F)**: 3.7 states/eV/f.u.